Record 1
BeTc2Rh | Alexandria via LeMat-Bulk | PBE-GGA | optimized geometry; ρ = 10.01 Mg/m³
1.0
2.793 0.000 0.000
0.000 2.793 0.000
0.000 0.000 6.545
Rh Tc Be
1 2 1
Cartesian
1.397 1.397 4.648
1.397 1.397 1.801
0.000 0.000 0.019
0.000 0.000 3.349

Record 2
Be2Tc2Rh | Alexandria via LeMat-Bulk | PBE-GGA | optimized geometry; ρ = 8.28 Mg/m³
1.0
-1.594 5.272 3.966
-4.874 1.809 -4.363
-1.806 -1.574 1.366
Rh Be Tc
2 4 4
Cartesian
-3.234 3.541 -0.199
0.000 0.000 0.000
-4.483 1.368 -1.569
-3.792 4.140 2.538
-5.995 4.270 -0.227
-2.279 1.238 1.195
-1.575 3.488 1.935
-4.893 3.593 -2.333
-2.043 1.321 -1.180
-4.426 5.760 0.783

ΔH_f (0 K) readings, ordered: -187 210 meV per atom